No. 1
An optimized crystal structure of Sm3Dy8Tm. Source: Alexandria via LeMat-Bulk, functional PBE.

Cell: 8.3642 8.3642 8.3642 Å, 117.24 117.24 94.85°
Sites, in units of the cell vectors:
Sm  0.0000  0.0000  0.0000
Sm  0.2500  0.7500  0.5000
Sm  0.7500  0.2500  0.5000
Dy  0.1277  0.3794  0.0000
Dy  0.2461  0.2461  0.5092
Dy  0.2632  0.7539  0.0000
Dy  0.3794  0.1277  0.0000
Dy  0.6206  0.6206  0.7483
Dy  0.7368  0.7368  0.4908
Dy  0.7539  0.2632  0.0000
Dy  0.8723  0.8723  0.2517
Tm  0.5000  0.5000  0.0000

---

No. 2
An optimized crystal structure of Sm3DyTm6. Source: Alexandria via LeMat-Bulk, functional PBE.

* relative energy among the computed polymorphs: 0 meV/atom

Cell: 10.9007 10.9007 6.1718 Å, 90.00 90.00 119.60°
Sites, in units of the cell vectors:
Sm  0.1082  0.8918  0.5000
Sm  0.2186  0.4378  0.1061
Sm  0.4378  0.2186  0.6061
Sm  0.5622  0.7814  0.1061
Sm  0.7814  0.5622  0.6061
Sm  0.8918  0.1082  0.0000
Dy  0.2930  0.7070  0.4194
Dy  0.7070  0.2930  0.9194
Tm  0.0393  0.4611  0.6993
Tm  0.1161  0.2123  0.5313
Tm  0.2123  0.1161  0.0313
Tm  0.2176  0.7824  0.9260
Tm  0.4532  0.5468  0.6507
Tm  0.4611  0.0393  0.1993
Tm  0.5389  0.9607  0.6993
Tm  0.5468  0.4532  0.1507
Tm  0.7824  0.2176  0.4260
Tm  0.7877  0.8839  0.5313
Tm  0.8839  0.7877  0.0313
Tm  0.9607  0.5389  0.1993

---

No. 3
An optimized crystal structure of Sm3Dy3Tm. Source: Alexandria via LeMat-Bulk, functional PBE.

* relative energy among the computed polymorphs: 141 meV/atom

Cell: 14.7053 14.7053 14.7053 Å, 24.34 24.34 24.34°
Sites, in units of the cell vectors:
Sm  0.1316  0.4626  0.8005
Sm  0.1995  0.8684  0.5374
Sm  0.4626  0.8005  0.1316
Sm  0.5374  0.1995  0.8684
Sm  0.8005  0.1316  0.4626
Sm  0.8684  0.5374  0.1995
Dy  0.0646  0.7311  0.3984
Dy  0.2689  0.6016  0.9354
Dy  0.3984  0.0646  0.7311
Dy  0.6016  0.9354  0.2689
Dy  0.7311  0.3984  0.0646
Dy  0.9354  0.2689  0.6016
Tm  0.3333  0.3333  0.3333
Tm  0.6667  0.6667  0.6667

---

No. 4
An optimized crystal structure of SmDy6Tm4. Source: Alexandria via LeMat-Bulk, functional PBE.

* relative energy among the computed polymorphs: 0 meV/atom

Cell: 5.5718 5.5718 25.5504 Å, 90.00 90.00 119.21°
Sites, in units of the cell vectors:
Sm  0.1813  0.8187  0.7500
Sm  0.8187  0.1813  0.2500
Dy  0.1503  0.8497  0.1807
Dy  0.1503  0.8497  0.3193
Dy  0.1821  0.8179  0.6017
Dy  0.1821  0.8179  0.8983
Dy  0.4848  0.5152  0.2500
Dy  0.5000  0.5000  0.0000
Dy  0.5000  0.5000  0.5000
Dy  0.5152  0.4848  0.7500
Dy  0.8179  0.1821  0.1017
Dy  0.8179  0.1821  0.3983
Dy  0.8497  0.1503  0.6807
Dy  0.8497  0.1503  0.8193
Tm  0.1604  0.8396  0.0423
Tm  0.1604  0.8396  0.4577
Tm  0.4814  0.5187  0.1215
Tm  0.4814  0.5187  0.3785
Tm  0.5187  0.4814  0.6215
Tm  0.5187  0.4814  0.8785
Tm  0.8396  0.1604  0.5423
Tm  0.8396  0.1604  0.9577

---

No. 5
An optimized crystal structure of Sm8Dy4Tm3. Source: Alexandria via LeMat-Bulk, functional PBE.

* relative energy among the computed polymorphs: 205 meV/atom

Cell: 9.1094 9.1094 6.8367 Å, 110.43 110.43 83.25°
Sites, in units of the cell vectors:
Sm  0.2014  0.2014  0.1698
Sm  0.2035  0.7965  0.0000
Sm  0.2522  0.7478  0.5000
Sm  0.2552  0.2552  0.7067
Sm  0.7448  0.7448  0.2933
Sm  0.7478  0.2522  0.5000
Sm  0.7965  0.2035  0.0000
Sm  0.7986  0.7986  0.8302
Dy  0.0000  0.5000  0.0000
Dy  0.5000  0.0000  0.0000
Dy  0.5000  0.5000  0.0000
Dy  0.5000  0.5000  0.5000
Tm  0.0000  0.0000  0.5000
Tm  0.0000  0.5000  0.5000
Tm  0.5000  0.0000  0.5000

---

No. 6
An optimized crystal structure of Sm2DyTm4. Source: Alexandria via LeMat-Bulk, functional PBE.

* relative energy among the computed polymorphs: 65 meV/atom

Cell: 6.0311 8.3271 9.4408 Å, 88.53 78.34 72.45°
Sites, in units of the cell vectors:
Sm  0.0000  0.0000  0.0000
Sm  0.0092  0.8844  0.3554
Sm  0.1588  0.4878  0.4937
Sm  0.2687  0.0441  0.6237
Dy  0.1150  0.5526  0.1247
Dy  0.9054  0.4184  0.8474
Tm  0.2714  0.1556  0.2632
Tm  0.3634  0.6268  0.7733
Tm  0.4641  0.2087  0.9065
Tm  0.5482  0.7780  0.0689
Tm  0.6014  0.6847  0.4203
Tm  0.6701  0.3620  0.1996
Tm  0.7239  0.2630  0.5506
Tm  0.8054  0.8368  0.7154

---

No. 7
An optimized crystal structure of Sm6DyTm8. Source: Alexandria via LeMat-Bulk, functional PBE.

Cell: 9.4080 9.4080 6.4853 Å, 90.00 90.00 120.00°
Sites, in units of the cell vectors:
Sm  0.0910  0.6801  0.4093
Sm  0.3199  0.4109  0.4093
Sm  0.4109  0.0910  0.5907
Sm  0.5891  0.9090  0.4093
Sm  0.6801  0.5891  0.5907
Sm  0.9090  0.3199  0.5907
Dy  0.0000  0.0000  0.5000
Tm  0.0237  0.3350  0.0976
Tm  0.3113  0.9763  0.0976
Tm  0.3333  0.6667  0.8451
Tm  0.3350  0.3113  0.9024
Tm  0.6650  0.6887  0.0976
Tm  0.6667  0.3333  0.1549
Tm  0.6887  0.0237  0.9024
Tm  0.9763  0.6650  0.9024

---

No. 8
An optimized crystal structure of Sm2Dy7Tm2. Source: Alexandria via LeMat-Bulk, functional PBE.

* relative energy among the computed polymorphs: 40 meV/atom

Cell: 8.0049 8.0049 6.0236 Å, 106.16 106.16 90.77°
Sites, in units of the cell vectors:
Sm  0.2294  0.2294  0.0906
Sm  0.7706  0.7706  0.9094
Dy  0.0000  0.0000  0.5000
Dy  0.0597  0.5894  0.3236
Dy  0.4106  0.9403  0.6764
Dy  0.4145  0.4145  0.6990
Dy  0.5855  0.5855  0.3010
Dy  0.5894  0.0597  0.3236
Dy  0.9403  0.4106  0.6764
Tm  0.2182  0.7818  0.0000
Tm  0.7818  0.2182  0.0000

---

D(E_F) for every record listed, in sequence, given in states/eV/cell: 18.3 29.1 20.7 38.4 23.6 22.4 21.4 17.4.
Electronic total energy for every record listed, in sequence, given in eV per atom: -3.986 -4.408 -4.476 -4.441 -4.284 -4.490 -4.339 -4.443.
Theoretical density for every record listed, in sequence, given in g/cm3: 7.43 8.47 7.75 8.64 7.87 8.55 8.07 8.32.